# GGA-PBEsol BaMn2Hg, relaxed
data_BaMn2Hg
_chemical_formula_sum 'Ba1 Mn2 Hg1'
_cell_length_a 6.0797
_cell_length_b 6.0797
_cell_length_c 6.0797
_cell_angle_alpha 147.42
_cell_angle_beta 125.84
_cell_angle_gamma 64.64
_symmetry_space_group_name_H-M 'P 1'
_symmetry_Int_Tables_number 1
loop_
_symmetry_equiv_pos_as_xyz
'x,y,z'
loop_
_atom_site_label
_atom_site_fract_x
_atom_site_fract_y
_atom_site_fract_z
Ba1 0.0000 0.0000 0.0000
Mn1 0.2844 0.7844 0.5000
Mn2 0.7156 0.2156 0.5000
Hg1 0.5000 0.5000 0.0000
# - energy relative to the lowest polymorph listed for this composition (kJ/mol of formula units) = 0
# - DOS(E_F) (states/eV/cell) = 4.39
# - total DFT energy (no corrections) (eV for the cell shown) = -19.34